DFT (GGA-PBE) results for a relaxed TlSi2W crystal.

Computed properties:
energy relative to the elements, uncorrected = 376 meV per atom
calculated total energy = -6.165 eV per atom
E above lowest polymorph = 83 meV per atom
SG = R-3m, No. 166

Unit cell a=8.5970 b=8.5970 c=8.5970 alpha=21.71 beta=21.71 gamma=21.71
Last column: nearest neighbours and their distance in Å.
Fractional coordinates of all 4 atoms:
W: 0.7500 0.7500 0.7500  6 Si 2.53
Si: 0.4844 0.4844 0.4844  3 W 2.53
Si: 0.0156 0.0156 0.0156  3 W 2.53
Tl: 0.2500 0.2500 0.2500  6 Si 3.11, 6 Tl 3.24

***

DFT (GGA-PBE) results for a relaxed TlSi2W crystal.

Computed properties:
energy relative to the elements, uncorrected = 448 meV per atom
calculated total energy = -6.093 eV per atom
E above lowest polymorph = 155 meV per atom
SG = Imm2, No. 44

Unit cell a=7.2661 b=7.2661 c=4.2773 alpha=72.90 beta=72.90 gamma=22.37
Last column: nearest neighbours and their distance in Å.
Fractional coordinates of all 4 atoms:
Si: 0.7576 0.7576 0.7426  4 W 2.56, 2 Si 2.82
Si: 0.9226 0.9226 0.0769  2 W 2.58, 2 Si 2.82
W: 0.2639 0.2639 0.2363  6 Si 2.56-2.58, 2 W 2.82
Tl: 0.5559 0.5559 0.4441  2 Tl 2.82, 4 Si 3.14

***

DFT (GGA-PBE) results for a relaxed TlSiW2 crystal.

Computed properties:
energy relative to the elements, uncorrected = 1026 meV per atom
calculated total energy = -7.398 eV per atom
E above lowest polymorph = 605 meV per atom
SG = P4/mmm, No. 123

Unit cell a=4.0147 b=4.1113 c=4.1113 alpha=90.00 beta=90.00 gamma=90.00
Last column: nearest neighbours and their distance in Å.
Fractional coordinates of all 4 atoms:
W: 0.0000 0.0000 0.0000  4 Si 2.87, 4 Tl 2.87, 4 W 2.91
W: 0.0000 0.5000 0.5000  4 Tl 2.87, 4 Si 2.87, 4 W 2.91
Si: 0.5000 0.5000 0.0000  8 W 2.87, 4 Tl 2.91
Tl: 0.5000 0.0000 0.5000  8 W 2.87, 4 Si 2.91

***

DFT (GGA-PBE) results for a relaxed TlSi2W crystal.

Computed properties:
energy relative to the elements, uncorrected = 861 meV per atom
calculated total energy = -5.681 eV per atom
E above lowest polymorph = 567 meV per atom
SG = Cmmm, No. 65

Unit cell a=5.0033 b=5.0033 c=2.8289 alpha=90.00 beta=90.00 gamma=100.20
Last column: nearest neighbours and their distance in Å.
Fractional coordinates of all 4 atoms:
Si: 0.0000 0.0000 0.0000  2 Si 2.83, 4 Tl 2.87, 4 W 2.87
Si: 0.5000 0.5000 0.0000  2 Si 2.83, 4 W 2.87, 4 Tl 2.87
Tl: 0.5000 0.0000 0.5000  2 Tl 2.83, 8 Si 2.87
W: 0.0000 0.5000 0.5000  2 W 2.83, 8 Si 2.87

***

DFT (GGA-PBE) results for a relaxed TlSi2W crystal.

Computed properties:
energy relative to the elements, uncorrected = 429 meV per atom
calculated total energy = -6.112 eV per atom
E above lowest polymorph = 136 meV per atom
SG = C2/m, No. 12

Unit cell a=4.4785 b=4.4785 c=6.6500 alpha=76.81 beta=76.81 gamma=41.70
Last column: nearest neighbours and their distance in Å.
Fractional coordinates of all 4 atoms:
Si: 0.5150 0.5150 0.3846  2 Si 2.45, 3 W 2.52-2.59
Si: 0.9850 0.9850 0.1154  2 Si 2.45, 3 W 2.52-2.59
Tl: 0.7500 0.7500 0.7500  2 Tl 3.19, 6 Si 3.28-3.48
W: 0.2500 0.2500 0.2500  6 Si 2.52-2.59

***

DFT (GGA-PBE) results for a relaxed TlSiW2 crystal.

Computed properties:
energy relative to the elements, uncorrected = 944 meV per atom
calculated total energy = -7.480 eV per atom
E above lowest polymorph = 524 meV per atom
SG = F-43m, No. 216

Unit cell a=4.6165 b=4.6165 c=4.6165 alpha=60.00 beta=60.00 gamma=60.00
Last column: nearest neighbours and their distance in Å.
Fractional coordinates of all 4 atoms:
Tl: 0.7500 0.7500 0.7500  4 W 2.83, 4 Si 2.83
Si: 0.5000 0.5000 0.5000  4 W 2.83, 4 Tl 2.83
W: 0.0000 0.0000 0.0000  4 Tl 2.83, 4 W 2.83
W: 0.2500 0.2500 0.2500  4 W 2.83, 4 Si 2.83